(1)
A plane-wave DFT calculation with PBE was carried out for crystalline Ce2ThZn at its relaxed geometry.

Results
- energy relative to the lowest polymorph listed for this composition (meV/atom) = 0.0
- ρ (g cm⁻³) = 9.03

```
data_Ce2ThZn
_cell_length_a 3.527
_cell_length_b 3.527
_cell_length_c 8.543
_cell_angle_alpha 90.00
_cell_angle_beta 90.00
_cell_angle_gamma 90.00
_symmetry_space_group_name_H-M 'P 4/m m m'
_symmetry_Int_Tables_number 123
_symmetry_space_group_name_Hall '-P 4 2'
loop_
_atom_site_label
_atom_site_type_symbol
_atom_site_fract_x
_atom_site_fract_y
_atom_site_fract_z
Ce1 Ce 0.000 0.000 0.222
Th1 Th 0.500 0.500 0.500
Zn1 Zn 0.500 0.500 0.000
```



(2)
A plane-wave DFT calculation with PBE was carried out for crystalline Ce2ThZn at its relaxed geometry.

Results
- energy relative to the lowest polymorph listed for this composition (meV/atom) = 82.7
- ρ (g cm⁻³) = 9.22

```
data_Ce2ThZn
_cell_length_a 4.587
_cell_length_b 4.587
_cell_length_c 4.946
_cell_angle_alpha 90.00
_cell_angle_beta 90.00
_cell_angle_gamma 90.00
_symmetry_space_group_name_H-M 'P 4/m m m'
_symmetry_Int_Tables_number 123
_symmetry_space_group_name_Hall '-P 4 2'
loop_
_atom_site_label
_atom_site_type_symbol
_atom_site_fract_x
_atom_site_fract_y
_atom_site_fract_z
Ce1 Ce 0.000 0.500 0.000
Th1 Th 0.000 0.000 0.500
Zn1 Zn 0.500 0.500 0.500
```



(3)
A plane-wave DFT calculation with PBE was carried out for crystalline CeTh2Zn6 at its relaxed geometry.

Results
- total energy (eV per atom) = -3.430
- ρ (g cm⁻³) = 8.60

```
data_CeTh2Zn6
_cell_length_a 7.9488
_cell_length_b 7.9488
_cell_length_c 3.5162
_cell_angle_alpha 90.00
_cell_angle_beta 90.00
_cell_angle_gamma 120.00
_symmetry_space_group_name_H-M 'P 6/m m m'
_symmetry_Int_Tables_number 191
_symmetry_space_group_name_Hall '-P 6 2'
loop_
_atom_site_label
_atom_site_type_symbol
_atom_site_fract_x
_atom_site_fract_y
_atom_site_fract_z
Ce1 Ce 0.0000 0.0000 0.0000
Th1 Th 0.3333 0.6667 0.0000
Zn1 Zn 0.0000 0.3317 0.5000
```



(4)
A plane-wave DFT calculation with PBE was carried out for crystalline Ce3ThZn3 at its relaxed geometry.

Results
- total energy (eV per atom) = -3.452
- ρ (g cm⁻³) = 6.04

```
data_Ce3ThZn3
_cell_length_a 7.756
_cell_length_b 7.756
_cell_length_c 7.756
_cell_angle_alpha 90.00
_cell_angle_beta 90.00
_cell_angle_gamma 90.00
_symmetry_space_group_name_H-M 'P m -3 n'
_symmetry_Int_Tables_number 223
_symmetry_space_group_name_Hall '-P 4n 2 3'
loop_
_atom_site_label
_atom_site_type_symbol
_atom_site_fract_x
_atom_site_fract_y
_atom_site_fract_z
Ce1 Ce 0.000 0.250 0.500
Th1 Th 0.000 0.000 0.000
Zn1 Zn 0.000 0.500 0.250
```



(5)
A plane-wave DFT calculation with PBE was carried out for crystalline Ce2ThZn at its relaxed geometry.

Results
- energy relative to the lowest polymorph listed for this composition (meV/atom) = 250.3
- ρ (g cm⁻³) = 9.08

```
data_Ce2ThZn
_cell_length_a 7.505
_cell_length_b 7.505
_cell_length_c 7.505
_cell_angle_alpha 90.00
_cell_angle_beta 90.00
_cell_angle_gamma 90.00
_symmetry_space_group_name_H-M 'F m -3 m'
_symmetry_Int_Tables_number 225
_symmetry_space_group_name_Hall '-F 4 2 3'
loop_
_atom_site_label
_atom_site_type_symbol
_atom_site_fract_x
_atom_site_fract_y
_atom_site_fract_z
Ce1 Ce 0.250 0.250 0.250
Th1 Th 0.000 0.000 0.000
Zn1 Zn 0.000 0.000 0.500
```



(6)
A plane-wave DFT calculation with PBE was carried out for crystalline CeTh3Zn8 at its relaxed geometry.

Results
- total energy (eV per atom) = -3.423
- ρ (g cm⁻³) = 9.24

```
data_CeTh3Zn8
_cell_length_a 5.7170
_cell_length_b 5.7170
_cell_length_c 8.6320
_cell_angle_alpha 90.00
_cell_angle_beta 90.00
_cell_angle_gamma 120.00
_symmetry_space_group_name_H-M 'P 3 m 1'
_symmetry_Int_Tables_number 156
loop_
_symmetry_equiv_pos_as_xyz
'x,y,z'
'-y,x-y,z'
'-x+y,-x,z'
'-y,-x,z'
'-x+y,y,z'
'x,x-y,z'
loop_
_atom_site_label
_atom_site_type_symbol
_atom_site_fract_x
_atom_site_fract_y
_atom_site_fract_z
Ce1 Ce 0.0000 0.0000 0.0000
Th1 Th 0.0000 0.0000 0.3419
Th2 Th 0.6667 0.3333 0.5000
Th3 Th 0.6667 0.3333 0.8620
Zn1 Zn 0.1628 0.3256 0.6761
Zn2 Zn 0.3333 0.6667 0.4284
Zn3 Zn 0.3333 0.6667 0.9264
Zn4 Zn 0.5018 0.0037 0.1767
```



(7)
A plane-wave DFT calculation with PBE was carried out for crystalline CeThZn at its relaxed geometry.

Results
- energy relative to the lowest polymorph listed for this composition (meV/atom) = 0.0
- ρ (g cm⁻³) = 9.02

```
data_CeThZn
_cell_length_a 3.678
_cell_length_b 3.678
_cell_length_c 11.908
_cell_angle_alpha 90.00
_cell_angle_beta 90.00
_cell_angle_gamma 90.00
_symmetry_space_group_name_H-M 'I 4 m m'
_symmetry_Int_Tables_number 107
_symmetry_space_group_name_Hall 'I 4 -2'
loop_
_atom_site_label
_atom_site_type_symbol
_atom_site_fract_x
_atom_site_fract_y
_atom_site_fract_z
Ce1 Ce 0.000 0.000 0.000
Th1 Th 0.000 0.000 0.704
Zn1 Zn 0.000 0.000 0.354
```



(8)
A plane-wave DFT calculation with PBE was carried out for crystalline Ce4Th5Zn at its relaxed geometry.

Results
- total energy (eV per atom) = -6.207
- ρ (g cm⁻³) = 10.26

```
data_Ce4Th5Zn
_cell_length_a 3.508
_cell_length_b 3.508
_cell_length_c 23.491
_cell_angle_alpha 90.00
_cell_angle_beta 90.00
_cell_angle_gamma 90.00
_symmetry_space_group_name_H-M 'P 4/m m m'
_symmetry_Int_Tables_number 123
_symmetry_space_group_name_Hall '-P 4 2'
loop_
_atom_site_label
_atom_site_type_symbol
_atom_site_fract_x
_atom_site_fract_y
_atom_site_fract_z
Ce1 Ce 0.000 0.000 0.103
Ce2 Ce 0.000 0.000 0.308
Th1 Th 0.500 0.500 0.000
Th2 Th 0.500 0.500 0.206
Th3 Th 0.500 0.500 0.416
Zn1 Zn 0.000 0.000 0.500
```



(9)
A plane-wave DFT calculation with PBE was carried out for crystalline Ce12Th3Zn at its relaxed geometry.

Results
- total energy (eV per atom) = -5.913
- ρ (g cm⁻³) = 9.35

```
data_Ce12Th3Zn
_cell_length_a 4.774
_cell_length_b 4.774
_cell_length_c 19.045
_cell_angle_alpha 90.00
_cell_angle_beta 90.00
_cell_angle_gamma 90.00
_symmetry_space_group_name_H-M 'P 4/m m m'
_symmetry_Int_Tables_number 123
_symmetry_space_group_name_Hall '-P 4 2'
loop_
_atom_site_label
_atom_site_type_symbol
_atom_site_fract_x
_atom_site_fract_y
_atom_site_fract_z
Ce1 Ce 0.000 0.000 0.000
Ce2 Ce 0.000 0.000 0.247
Ce3 Ce 0.000 0.000 0.500
Ce4 Ce 0.000 0.500 0.117
Ce5 Ce 0.000 0.500 0.373
Th1 Th 0.500 0.500 0.244
Th2 Th 0.500 0.500 0.500
Zn1 Zn 0.500 0.500 0.000
```



(10)
A plane-wave DFT calculation with PBE was carried out for crystalline Ce3ThZn4 at its relaxed geometry.

Results
- total energy (eV per atom) = -3.955
- ρ (g cm⁻³) = 8.26

```
data_Ce3ThZn4
_cell_length_a 10.382
_cell_length_b 6.559
_cell_length_c 5.400
_cell_angle_alpha 90.00
_cell_angle_beta 90.00
_cell_angle_gamma 90.00
_symmetry_space_group_name_H-M 'P m m a'
_symmetry_Int_Tables_number 51
loop_
_symmetry_equiv_pos_as_xyz
'x,y,z'
'-x,-y,-z'
'-x+1/2,-y,z'
'x+1/2,y,-z'
'x+1/2,-y,-z'
'-x+1/2,y,z'
'-x,y,-z'
'x,-y,z'
loop_
_atom_site_label
_atom_site_type_symbol
_atom_site_fract_x
_atom_site_fract_y
_atom_site_fract_z
Ce1 Ce 0.000 0.000 0.000
Ce2 Ce 0.250 0.000 0.370
Ce3 Ce 0.250 0.500 0.386
Th1 Th 0.000 0.500 0.000
Zn1 Zn 0.000 0.244 0.500
Zn2 Zn 0.250 0.244 0.866
```



(11)
A plane-wave DFT calculation with PBE was carried out for crystalline Ce4ThZn at its relaxed geometry.

Results
- total energy (eV per atom) = -5.420
- ρ (g cm⁻³) = 8.92

```
data_Ce4ThZn
_cell_length_a 3.463
_cell_length_b 3.463
_cell_length_c 13.325
_cell_angle_alpha 90.00
_cell_angle_beta 90.00
_cell_angle_gamma 90.00
_symmetry_space_group_name_H-M 'P 4/m m m'
_symmetry_Int_Tables_number 123
_symmetry_space_group_name_Hall '-P 4 2'
loop_
_atom_site_label
_atom_site_type_symbol
_atom_site_fract_x
_atom_site_fract_y
_atom_site_fract_z
Ce1 Ce 0.000 0.000 0.144
Ce2 Ce 0.500 0.500 0.320
Th1 Th 0.000 0.000 0.500
Zn1 Zn 0.500 0.500 0.000
```



(12)
A plane-wave DFT calculation with PBE was carried out for crystalline CeThZn at its relaxed geometry.

Results
- energy relative to the lowest polymorph listed for this composition (meV/atom) = 84.7
- ρ (g cm⁻³) = 9.57

```
data_CeThZn
_cell_length_a 4.9106
_cell_length_b 4.9106
_cell_length_c 3.6360
_cell_angle_alpha 90.00
_cell_angle_beta 90.00
_cell_angle_gamma 120.00
_symmetry_space_group_name_H-M 'P 3 m 1'
_symmetry_Int_Tables_number 156
loop_
_symmetry_equiv_pos_as_xyz
'x,y,z'
'-y,x-y,z'
'-x+y,-x,z'
'-y,-x,z'
'-x+y,y,z'
'x,x-y,z'
loop_
_atom_site_label
_atom_site_type_symbol
_atom_site_fract_x
_atom_site_fract_y
_atom_site_fract_z
Ce1 Ce 0.0000 0.0000 0.0000
Th1 Th 0.6667 0.3333 0.3648
Zn1 Zn 0.3333 0.6667 0.6803
```



(13)
A plane-wave DFT calculation with PBE was carried out for crystalline CeThZn2 at its relaxed geometry.

Results
- energy relative to the lowest polymorph listed for this composition (meV/atom) = 0.0
- ρ (g cm⁻³) = 8.64

```
data_CeThZn2
_cell_length_a 3.635
_cell_length_b 3.635
_cell_length_c 7.315
_cell_angle_alpha 90.00
_cell_angle_beta 90.00
_cell_angle_gamma 90.00
_symmetry_space_group_name_H-M 'P 4/m m m'
_symmetry_Int_Tables_number 123
_symmetry_space_group_name_Hall '-P 4 2'
loop_
_atom_site_label
_atom_site_type_symbol
_atom_site_fract_x
_atom_site_fract_y
_atom_site_fract_z
Ce1 Ce 0.000 0.000 0.000
Th1 Th 0.000 0.000 0.500
Zn1 Zn 0.500 0.500 0.246
```



(14)
A plane-wave DFT calculation with PBE was carried out for crystalline Ce3ThZn8 at its relaxed geometry.

Results
- total energy (eV per atom) = -3.206
- ρ (g cm⁻³) = 8.19

```
data_Ce3ThZn8
_cell_length_a 5.5001
_cell_length_b 5.5001
_cell_length_c 27.3029
_cell_angle_alpha 90.00
_cell_angle_beta 90.00
_cell_angle_gamma 120.00
_symmetry_space_group_name_H-M 'R 3 m'
_symmetry_Int_Tables_number 160
_symmetry_space_group_name_Hall 'R 3 -2"'
loop_
_atom_site_label
_atom_site_type_symbol
_atom_site_fract_x
_atom_site_fract_y
_atom_site_fract_z
Ce1 Ce 0.0000 0.0000 0.0000
Ce2 Ce 0.0000 0.0000 0.1258
Ce3 Ce 0.0000 0.0000 0.6295
Th1 Th 0.0000 0.0000 0.5013
Zn1 Zn 0.0000 0.0000 0.3143
Zn2 Zn 0.0000 0.0000 0.8140
Zn3 Zn 0.0006 0.5003 0.0642
Zn4 Zn 0.1674 0.3348 0.8976
```



(15)
A plane-wave DFT calculation with PBE was carried out for crystalline Ce3ThZn8 at its relaxed geometry.

Results
- total energy (eV per atom) = -3.207
- ρ (g cm⁻³) = 8.22

```
data_Ce3ThZn8
_cell_length_a 5.6874
_cell_length_b 5.6874
_cell_length_c 8.4809
_cell_angle_alpha 90.00
_cell_angle_beta 90.00
_cell_angle_gamma 120.00
_symmetry_space_group_name_H-M 'P 3 m 1'
_symmetry_Int_Tables_number 156
loop_
_symmetry_equiv_pos_as_xyz
'x,y,z'
'-y,x-y,z'
'-x+y,-x,z'
'-y,-x,z'
'-x+y,y,z'
'x,x-y,z'
loop_
_atom_site_label
_atom_site_type_symbol
_atom_site_fract_x
_atom_site_fract_y
_atom_site_fract_z
Ce1 Ce 0.0000 0.0000 0.0000
Ce2 Ce 0.0000 0.0000 0.3317
Ce3 Ce 0.3333 0.6667 0.8497
Th1 Th 0.3333 0.6667 0.4957
Zn1 Zn 0.0025 0.5012 0.1691
Zn2 Zn 0.3272 0.1636 0.6697
Zn3 Zn 0.6667 0.3333 0.4194
Zn4 Zn 0.6667 0.3333 0.9181
```



(16)
A plane-wave DFT calculation with PBE was carried out for crystalline CeThZn at its relaxed geometry.

Results
- energy relative to the lowest polymorph listed for this composition (meV/atom) = 59.6
- ρ (g cm⁻³) = 9.54

```
data_CeThZn
_cell_length_a 3.419
_cell_length_b 3.419
_cell_length_c 13.033
_cell_angle_alpha 90.00
_cell_angle_beta 90.00
_cell_angle_gamma 90.00
_symmetry_space_group_name_H-M 'P 4/n m m'
_symmetry_Int_Tables_number 129
loop_
_symmetry_equiv_pos_as_xyz
'x,y,z'
'-x,-y,-z'
'-y+1/2,x,z'
'y+1/2,-x,-z'
'-x+1/2,-y+1/2,z'
'x+1/2,y+1/2,-z'
'y,-x+1/2,z'
'-y,x+1/2,-z'
'x+1/2,-y,-z'
'-x+1/2,y,z'
'-y,-x,-z'
'y,x,z'
'-x,y+1/2,-z'
'x,-y+1/2,z'
'y+1/2,x+1/2,-z'
'-y+1/2,-x+1/2,z'
loop_
_atom_site_label
_atom_site_type_symbol
_atom_site_fract_x
_atom_site_fract_y
_atom_site_fract_z
Ce1 Ce 0.250 0.250 0.089
Th1 Th 0.250 0.250 0.714
Zn1 Zn 0.250 0.250 0.451
```



(17)
A plane-wave DFT calculation with PBE was carried out for crystalline CeThZn3 at its relaxed geometry.

Results
- total energy (eV per atom) = -3.662
- ρ (g cm⁻³) = 8.53

```
data_CeThZn3
_cell_length_a 3.451
_cell_length_b 27.943
_cell_length_c 4.589
_cell_angle_alpha 90.00
_cell_angle_beta 90.00
_cell_angle_gamma 90.00
_symmetry_space_group_name_H-M 'C m c m'
_symmetry_Int_Tables_number 63
_symmetry_space_group_name_Hall '-C 2c 2'
loop_
_atom_site_label
_atom_site_type_symbol
_atom_site_fract_x
_atom_site_fract_y
_atom_site_fract_z
Ce1 Ce 0.000 0.214 0.250
Th1 Th 0.000 0.072 0.750
Zn1 Zn 0.000 0.330 0.250
Zn2 Zn 0.000 0.380 0.750
Zn3 Zn 0.000 0.476 0.750
```



(18)
A plane-wave DFT calculation with PBE was carried out for crystalline CeThZn2 at its relaxed geometry.

Results
- energy relative to the lowest polymorph listed for this composition (meV/atom) = 29.1
- ρ (g cm⁻³) = 8.91

```
data_CeThZn2
_cell_length_a 4.680
_cell_length_b 4.680
_cell_length_c 4.282
_cell_angle_alpha 90.00
_cell_angle_beta 90.00
_cell_angle_gamma 90.00
_symmetry_space_group_name_H-M 'P 4/m m m'
_symmetry_Int_Tables_number 123
_symmetry_space_group_name_Hall '-P 4 2'
loop_
_atom_site_label
_atom_site_type_symbol
_atom_site_fract_x
_atom_site_fract_y
_atom_site_fract_z
Ce1 Ce 0.000 0.000 0.000
Th1 Th 0.500 0.500 0.000
Zn1 Zn 0.000 0.500 0.500
```



(19)
A plane-wave DFT calculation with PBE was carried out for crystalline CeTh2Zn4 at its relaxed geometry.

Results
- total energy (eV per atom) = -3.676
- ρ (g cm⁻³) = 8.09

```
data_CeTh2Zn4
_cell_length_a 5.203
_cell_length_b 5.203
_cell_length_c 13.135
_cell_angle_alpha 90.00
_cell_angle_beta 90.00
_cell_angle_gamma 90.00
_symmetry_space_group_name_H-M 'I 4/m m m'
_symmetry_Int_Tables_number 139
_symmetry_space_group_name_Hall '-I 4 2'
loop_
_atom_site_label
_atom_site_type_symbol
_atom_site_fract_x
_atom_site_fract_y
_atom_site_fract_z
Ce1 Ce 0.000 0.000 0.000
Th1 Th 0.000 0.000 0.265
Zn1 Zn 0.000 0.500 0.109
```



(20)
A plane-wave DFT calculation with PBE was carried out for crystalline Ce2ThZn2 at its relaxed geometry.

Results
- total energy (eV per atom) = -4.475
- ρ (g cm⁻³) = 8.61

```
data_Ce2ThZn2
_cell_length_a 3.558
_cell_length_b 26.625
_cell_length_c 5.234
_cell_angle_alpha 90.00
_cell_angle_beta 90.00
_cell_angle_gamma 90.00
_symmetry_space_group_name_H-M 'C m c m'
_symmetry_Int_Tables_number 63
_symmetry_space_group_name_Hall '-C 2c 2'
loop_
_atom_site_label
_atom_site_type_symbol
_atom_site_fract_x
_atom_site_fract_y
_atom_site_fract_z
Ce1 Ce 0.000 0.054 0.250
Ce2 Ce 0.000 0.245 0.250
Th1 Th 0.000 0.141 0.750
Zn1 Zn 0.000 0.347 0.750
Zn2 Zn 0.000 0.458 0.250
```